# 1
{"formula": "MnB2OF", "functional": "PBE with a Hubbard U", "state": "relaxed", "crystal_system": "tetragonal", "spacegroup": "No. 123", "dos_at_fermi_per_ev_atom": 0.340, "energy_ev_per_cell": -22.3, "lattice_angstrom": [[4.119, 0.000, 0.000], [0.000, 4.119, 0.000], [0.000, 0.000, 3.699]], "species": ["Mn", "B", "B", "O", "F"], "frac_coords": [[0.000, 0.000, 0.000], [0.000, 0.500, 0.000], [0.500, 0.000, 0.000], [0.500, 0.500, 0.500], [0.000, 0.000, 0.500]]}

# 2
{"formula": "MnBOF2", "functional": "PBE with a Hubbard U", "state": "relaxed", "crystal_system": "tetragonal", "spacegroup": "No. 123", "relative_energy_mev_per_atom": 728, "dos_at_fermi_per_ev_atom": 0.231, "energy_ev_per_cell": -26.1, "lattice_angstrom": [[4.034, 0.000, 0.000], [0.000, 4.034, 0.000], [0.000, 0.000, 3.800]], "species": ["Mn", "B", "O", "F", "F"], "frac_coords": [[0.000, 0.000, 0.000], [0.500, 0.500, 0.500], [0.000, 0.000, 0.500], [0.000, 0.500, 0.000], [0.500, 0.000, 0.000]]}

> Number 1 is which compound?

MnB2OF